! PBE-GGA PrDyY2As4, optimized geometry; values from VASP
! Space group: No. 10
! Mass density (kg/m³): 6320
! Raw total energy (eV/f.u.): -53.13
! Fermi-level density of states (states/eV/f.u.): 0.886
! Crystal system: monoclinic
! M_tot (μB/cell): 0.00
&SYSTEM
  ibrav = 0, nat = 8, ntyp = 4
/
ATOMIC_SPECIES
As 74.92 As.upf
Pr 140.91 Pr.upf
Dy 162.50 Dy.upf
Y 88.91 Y.upf
CELL_PARAMETERS angstrom
-2.015 -2.701 2.462
6.183 -3.539 1.179
3.311 2.796 5.778
ATOMIC_POSITIONS angstrom
As 0.340 -2.841 4.236
Pr 2.084 -3.120 1.820
As 4.490 -3.305 3.587
Dy 4.747 -0.371 3.478
As 2.989 -0.138 5.832
As 7.139 -0.603 5.182
Y 3.311 2.796 5.778
Y 0.648 0.048 4.120


! PBE-GGA VZnGe2N, optimized geometry; values from VASP
! Space group: No. 123
! Mass density (kg/m³): 5906
! Fermi-level density of states (states/eV/f.u.): 2.353
! Formation energy from raw total energies (eV per atom): 0.636
! Crystal system: tetragonal
! M_tot (μB/cell): 2.44
&SYSTEM
  ibrav = 0, nat = 5, ntyp = 4
/
ATOMIC_SPECIES
Zn 65.41 Zn.upf
Ge 72.64 Ge.upf
N 14.01 N.upf
V 50.94 V.upf
CELL_PARAMETERS angstrom
-3.599 2.862 0.379
-1.106 -0.949 -3.336
-2.524 -3.413 1.807
ATOMIC_POSITIONS angstrom
Zn -0.553 -0.474 -1.668
Ge -1.800 1.431 0.189
N 0.000 0.000 0.000
V -3.614 -0.750 -0.575
Ge -1.262 -1.707 0.904


! PBE-GGA NaSr2AcPt, optimized geometry; values from VASP
! Space group: No. 123
! Mass density (kg/m³): 4741
! Raw total energy (eV/f.u.): -16.97
! Fermi-level density of states (states/eV/f.u.): 3.007
! Crystal system: tetragonal
! M_tot (μB/cell): 0.00
&SYSTEM
  ibrav = 0, nat = 5, ntyp = 4
/
ATOMIC_SPECIES
Sr 87.62 Sr.upf
Pt 195.08 Pt.upf
Na 22.99 Na.upf
Ac 227.00 Ac.upf
CELL_PARAMETERS angstrom
-0.313 -3.872 4.392
5.972 0.641 0.991
-1.134 4.526 3.909
ATOMIC_POSITIONS angstrom
Sr -0.567 2.263 1.955
Sr 2.986 0.320 0.496
Pt 0.000 0.000 0.000
Na 2.262 0.647 4.646
Ac -0.157 -1.936 2.196


Fermi-level density of states of number 2 (VZnGe2N)? 2.353 states/eV/f.u.


Which value of Fermi-level density of states does entry 3 give? 3.007 states/eV/f.u.